(1)
{"formula": "HoCuAgAu", "functional": "GGA-PBE", "state": "optimized geometry", "energy_ev_per_atom": -4.066, "rho_g_cm3": 11.5, "space_group": "F-43m (216)", "dos_ef_per_ev_cell": 1.5, "formation_enthalpy_0k_ev_per_atom": -0.36, "cell": [[-1.4769, -4.3105, -1.4285], [3.1642, -3.1996, -1.5977], [1.0197, -3.8617, 2.6172]], "species": ["Cu", "Au", "Ho", "Ag"], "fractional_positions": [[0.5000, 0.5000, 0.5000], [0.0000, 0.0000, 0.0000], [0.2500, 0.2500, 0.2500], [0.7500, 0.7500, 0.7500]]}

(2)
{"formula": "La2CuAgAu6", "functional": "GGA-PBE", "state": "optimized geometry", "energy_ev_per_atom": -4.037, "rho_g_cm3": 11.7, "space_group": "P-1 (2)", "dos_ef_per_ev_cell": 4.9, "formation_enthalpy_0k_ev_per_atom": -0.39, "cell": [[-4.5213, -5.4911, 0.6929], [5.1136, -3.4953, -3.2313], [4.4572, -5.0136, 1.9690]], "species": ["La", "La", "Cu", "Ag", "Au", "Au", "Au", "Au", "Au", "Au"], "fractional_positions": [[0.7156, 0.2463, 0.5293], [0.2844, 0.7537, 0.4707], [0.0000, 0.0000, 0.0000], [0.5000, 0.5000, 0.0000], [0.2633, 0.2736, 0.5133], [0.9160, 0.7542, 0.8370], [0.2620, 0.7737, 0.0139], [0.7380, 0.2263, 0.9861], [0.0840, 0.2458, 0.1630], [0.7367, 0.7264, 0.4867]]}

(3)
{"formula": "La2CuAgAu", "functional": "GGA-PBE", "state": "optimized geometry", "energy_ev_per_atom": -4.070, "rho_g_cm3": 7.5, "space_group": "P4/mmm (123)", "dos_ef_per_ev_cell": 5.1, "formation_enthalpy_0k_ev_per_atom": -0.05, "cell": [[5.4881, 0.0000, 0.0000], [0.0000, 4.7375, 0.0000], [0.0000, 0.0000, 5.4881]], "species": ["Au", "Cu", "Ag", "La", "La"], "fractional_positions": [[0.5000, 0.5000, 0.5000], [0.0000, 0.0000, 0.0000], [0.0000, 0.5000, 0.0000], [0.0000, 0.0000, 0.5000], [0.5000, 0.0000, 0.0000]]}

(4)
{"formula": "MgCu2Ag2Au5", "functional": "GGA-PBE", "state": "optimized geometry", "energy_ev_per_atom": -3.288, "rho_g_cm3": 12.7, "space_group": "P4/mbm (127)", "dos_ef_per_ev_cell": 5.1, "formation_enthalpy_0k_ev_per_atom": -0.10, "cell": [[4.0591, 0.0000, 0.0000], [0.0000, 9.3311, 0.0000], [0.0000, 0.0000, 9.3311]], "species": ["Mg", "Mg", "Cu", "Cu", "Cu", "Cu", "Ag", "Ag", "Ag", "Ag", "Au", "Au", "Au", "Au", "Au", "Au", "Au", "Au", "Au", "Au"], "fractional_positions": [[0.0000, 0.0000, 0.0000], [0.0000, 0.5000, 0.5000], [0.0000, 0.1231, 0.6231], [0.0000, 0.8769, 0.3769], [0.0000, 0.6231, 0.8769], [0.0000, 0.3769, 0.1231], [0.0000, 0.6698, 0.1698], [0.0000, 0.3302, 0.8302], [0.0000, 0.1698, 0.3302], [0.0000, 0.8302, 0.6698], [0.5000, 0.1959, 0.0857], [0.5000, 0.8041, 0.9143], [0.5000, 0.0857, 0.8041], [0.5000, 0.6959, 0.4143], [0.5000, 0.9143, 0.1959], [0.5000, 0.3041, 0.5857], [0.5000, 0.5857, 0.6959], [0.5000, 0.4143, 0.3041], [0.5000, 0.5000, 0.0000], [0.5000, 0.0000, 0.5000]]}

(5)
{"formula": "MgCuAgAu", "functional": "GGA-PBE", "state": "optimized geometry", "energy_ev_per_atom": -3.189, "rho_g_cm3": 9.9, "space_group": "P4/nmm (129)", "dos_ef_per_ev_cell": 3.9, "formation_enthalpy_0k_ev_per_atom": -0.23, "cell": [[-0.4016, 3.9545, 0.4719], [-3.7767, -0.5287, 1.2162], [2.5990, -0.6646, 7.7817]], "species": ["Mg", "Mg", "Cu", "Cu", "Ag", "Ag", "Au", "Au"], "fractional_positions": [[0.0000, 0.5000, 0.7357], [0.5000, 0.0000, 0.2643], [0.0000, 0.0000, 0.5000], [0.5000, 0.5000, 0.5000], [0.5000, 0.5000, 0.0000], [0.0000, 0.0000, 0.0000], [0.5000, 0.0000, 0.7241], [0.0000, 0.5000, 0.2759]]}

(6)
{"formula": "MnCu2Ag2Au5", "functional": "GGA-PBE", "state": "optimized geometry", "energy_ev_per_atom": -3.874, "rho_g_cm3": 13.1, "space_group": "P4/mbm (127)", "dos_ef_per_ev_cell": 7.3, "formation_enthalpy_0k_ev_per_atom": 0.07, "cell": [[-1.7140, -0.8281, -2.2198], [-7.0373, -4.4695, 7.1010], [-5.4038, 9.5043, 0.6268]], "species": ["Mn", "Mn", "Cu", "Cu", "Cu", "Cu", "Ag", "Ag", "Ag", "Ag", "Au", "Au", "Au", "Au", "Au", "Au", "Au", "Au", "Au", "Au"], "fractional_positions": [[0.0000, 0.0000, 0.0000], [0.0000, 0.5000, 0.5000], [0.0000, 0.1444, 0.6444], [0.0000, 0.8556, 0.3556], [0.0000, 0.6444, 0.8556], [0.0000, 0.3556, 0.1444], [0.0000, 0.6804, 0.1804], [0.0000, 0.3196, 0.8196], [0.0000, 0.1804, 0.3196], [0.0000, 0.8196, 0.6804], [0.5000, 0.2050, 0.0174], [0.5000, 0.7950, 0.9826], [0.5000, 0.0174, 0.7950], [0.5000, 0.7050, 0.4826], [0.5000, 0.9826, 0.2050], [0.5000, 0.2950, 0.5174], [0.5000, 0.5174, 0.7050], [0.5000, 0.4826, 0.2950], [0.5000, 0.5000, 0.0000], [0.5000, 0.0000, 0.5000]]}

(7)
{"formula": "NaCuAgAu", "functional": "GGA-PBE", "state": "optimized geometry", "energy_ev_per_atom": -2.841, "rho_g_cm3": 9.2, "space_group": "F-43m (216)", "dos_ef_per_ev_cell": 2.4, "formation_enthalpy_0k_ev_per_atom": 0.05, "cell": [[-1.6409, 0.6703, -4.2872], [1.2671, -2.8435, -3.4396], [-3.0707, -2.9754, -1.8000]], "species": ["Na", "Au", "Cu", "Ag"], "fractional_positions": [[0.5000, 0.5000, 0.5000], [0.0000, 0.0000, 0.0000], [0.2500, 0.2500, 0.2500], [0.7500, 0.7500, 0.7500]]}

(8)
{"formula": "NdCuAgAu", "functional": "GGA-PBE", "state": "optimized geometry", "energy_ev_per_atom": -4.062, "rho_g_cm3": 10.2, "space_group": "F-43m (216)", "dos_ef_per_ev_cell": 1.8, "formation_enthalpy_0k_ev_per_atom": -0.31, "cell": [[-0.9472, -4.7295, -0.9010], [-0.4867, -3.1575, 3.7244], [-4.4091, -1.8669, 1.0735]], "species": ["Nd", "Au", "Cu", "Ag"], "fractional_positions": [[0.7500, 0.7500, 0.7500], [0.5000, 0.5000, 0.5000], [0.0000, 0.0000, 0.0000], [0.2500, 0.2500, 0.2500]]}